DyTmTh3 | PBE-GGA | optimized geometry

Structure (CIF):
```
data_DyTmTh3
_chemical_formula_sum 'Dy6 Tm6 Th18'
_symmetry_space_group_name_H-M 'R -3'
_symmetry_Int_Tables_number 148
_symmetry_space_group_name_Hall '-R 3'
_cell_length_a 9.7027
_cell_length_b 9.7027
_cell_length_c 11.8443
_cell_angle_alpha 90.00
_cell_angle_beta 90.00
_cell_angle_gamma 120.00
loop_
_atom_site_label
_atom_site_type_symbol
_atom_site_fract_x
_atom_site_fract_y
_atom_site_fract_z
Dy1 Dy 0.0000 0.0000 0.1253
Tm1 Tm 0.0000 0.0000 0.3749
Th1 Th 0.9996 0.3349 0.7501
```

---

Dy15Tm4Th | PBE-GGA | optimized geometry

Structure (CIF):
```
data_Dy15Tm4Th
_chemical_formula_sum 'Dy15 Tm4 Th1'
_symmetry_space_group_name_H-M 'P 4/m m m'
_symmetry_Int_Tables_number 123
_symmetry_space_group_name_Hall '-P 4 2'
_cell_length_a 5.0048
_cell_length_b 5.0048
_cell_length_c 24.9421
_cell_angle_alpha 90.00
_cell_angle_beta 90.00
_cell_angle_gamma 90.00
loop_
_atom_site_label
_atom_site_type_symbol
_atom_site_fract_x
_atom_site_fract_y
_atom_site_fract_z
Dy1 Dy 0.0000 0.0000 0.0000
Dy2 Dy 0.0000 0.0000 0.2018
Dy3 Dy 0.0000 0.0000 0.4001
Dy4 Dy 0.0000 0.5000 0.0998
Dy5 Dy 0.0000 0.5000 0.3002
Dy6 Dy 0.0000 0.5000 0.5000
Tm1 Tm 0.5000 0.5000 0.2004
Tm2 Tm 0.5000 0.5000 0.4002
Th1 Th 0.5000 0.5000 0.0000
```

---

Dy4Tm2Th | PBE-GGA | optimized geometry

Structure (CIF):
```
data_Dy4Tm2Th
_chemical_formula_sum 'Dy12 Tm6 Th3'
_symmetry_space_group_name_H-M 'R -3 m'
_symmetry_Int_Tables_number 166
_symmetry_space_group_name_Hall '-R 3 2"'
_cell_length_a 3.5268
_cell_length_b 3.5268
_cell_length_c 62.1981
_cell_angle_alpha 90.00
_cell_angle_beta 90.00
_cell_angle_gamma 120.00
loop_
_atom_site_label
_atom_site_type_symbol
_atom_site_fract_x
_atom_site_fract_y
_atom_site_fract_z
Dy1 Dy 0.0000 0.0000 0.1432
Dy2 Dy 0.0000 0.0000 0.2886
Tm1 Tm 0.0000 0.0000 0.2348
Th1 Th 0.0000 0.0000 0.0000
```

---

Dy4Tm7Th | PBE-GGA | optimized geometry

Structure (CIF):
```
data_Dy4Tm7Th
_chemical_formula_sum 'Dy8 Tm14 Th2'
_symmetry_space_group_name_H-M 'C 1 2/m 1'
_symmetry_Int_Tables_number 12
_cell_length_a 12.0269
_cell_length_b 5.8537
_cell_length_c 12.5298
_cell_angle_alpha 90.00
_cell_angle_beta 118.60
_cell_angle_gamma 90.00
loop_
_symmetry_equiv_pos_as_xyz
'x,y,z'
'-x,-y,-z'
'-x,y,-z'
'x,-y,z'
'x+1/2,y+1/2,z'
'-x+1/2,-y+1/2,-z'
'-x+1/2,y+1/2,-z'
'x+1/2,-y+1/2,z'
loop_
_atom_site_label
_atom_site_type_symbol
_atom_site_fract_x
_atom_site_fract_y
_atom_site_fract_z
Dy1 Dy 0.0653 0.0000 0.3202
Dy2 Dy 0.1392 0.5000 0.7755
Tm1 Tm 0.0000 0.0000 0.0000
Tm2 Tm 0.1330 0.5000 0.4990
Tm3 Tm 0.2089 0.0000 0.9231
Tm4 Tm 0.2363 0.0000 0.6760
Th1 Th 0.0000 0.5000 0.0000
```

---

Dy3Tm4Th | PBE-GGA | optimized geometry

Structure (CIF):
```
data_Dy3Tm4Th
_chemical_formula_sum 'Dy6 Tm8 Th2'
_symmetry_space_group_name_H-M 'C 1 2/m 1'
_symmetry_Int_Tables_number 12
_cell_length_a 23.1671
_cell_length_b 3.4231
_cell_length_c 6.6459
_cell_angle_alpha 90.00
_cell_angle_beta 106.58
_cell_angle_gamma 90.00
loop_
_symmetry_equiv_pos_as_xyz
'x,y,z'
'-x,-y,-z'
'-x,y,-z'
'x,-y,z'
'x+1/2,y+1/2,z'
'-x+1/2,-y+1/2,-z'
'-x+1/2,y+1/2,-z'
'x+1/2,-y+1/2,z'
loop_
_atom_site_label
_atom_site_type_symbol
_atom_site_fract_x
_atom_site_fract_y
_atom_site_fract_z
Dy1 Dy 0.0000 0.0000 0.0000
Dy2 Dy 0.1247 0.0000 0.8665
Tm1 Tm 0.1251 0.0000 0.3852
Tm2 Tm 0.2409 0.5000 0.7384
Th1 Th 0.0000 0.5000 0.5000
```

---

DyTm6Th3 | PBE-GGA | optimized geometry

Structure (CIF):
```
data_DyTm6Th3
_chemical_formula_sum 'Dy2 Tm12 Th6'
_symmetry_space_group_name_H-M 'P 1 21/m 1'
_symmetry_Int_Tables_number 11
_cell_length_a 13.0159
_cell_length_b 3.4897
_cell_length_c 14.5108
_cell_angle_alpha 90.00
_cell_angle_beta 108.47
_cell_angle_gamma 90.00
loop_
_symmetry_equiv_pos_as_xyz
'x,y,z'
'-x,-y,-z'
'-x,y+1/2,-z'
'x,-y+1/2,z'
loop_
_atom_site_label
_atom_site_type_symbol
_atom_site_fract_x
_atom_site_fract_y
_atom_site_fract_z
Dy1 Dy 0.0806 0.2500 0.1965
Tm1 Tm 0.1412 0.7500 0.0131
Tm2 Tm 0.1559 0.2500 0.8091
Tm3 Tm 0.2151 0.2500 0.6008
Tm4 Tm 0.2595 0.7500 0.4028
Tm5 Tm 0.3388 0.2500 0.2240
Tm6 Tm 0.3926 0.7500 0.7897
Th1 Th 0.0061 0.2500 0.3946
Th2 Th 0.3847 0.2500 0.0046
Th3 Th 0.4651 0.2500 0.5907
```

---

DyTm4Th2 | PBE-GGA | optimized geometry

Structure (CIF):
```
data_DyTm4Th2
_chemical_formula_sum 'Dy1 Tm4 Th2'
_symmetry_space_group_name_H-M 'P -1'
_symmetry_Int_Tables_number 2
_cell_length_a 3.4411
_cell_length_b 8.4858
_cell_length_c 8.5992
_cell_angle_alpha 62.35
_cell_angle_beta 89.56
_cell_angle_gamma 82.32
loop_
_symmetry_equiv_pos_as_xyz
'x,y,z'
'-x,-y,-z'
loop_
_atom_site_label
_atom_site_type_symbol
_atom_site_fract_x
_atom_site_fract_y
_atom_site_fract_z
Dy1 Dy 0.0000 0.0000 0.0000
Tm1 Tm 0.0386 0.4486 0.7158
Tm2 Tm 0.3761 0.8484 0.4203
Th1 Th 0.4127 0.7190 0.8672
```

---

Dy14TmTh | PBE-GGA | optimized geometry

Structure (CIF):
```
data_Dy14TmTh
_chemical_formula_sum 'Dy14 Tm1 Th1'
_symmetry_space_group_name_H-M 'P 4/m m m'
_symmetry_Int_Tables_number 123
_symmetry_space_group_name_Hall '-P 4 2'
_cell_length_a 7.0832
_cell_length_b 7.0832
_cell_length_c 10.0105
_cell_angle_alpha 90.00
_cell_angle_beta 90.00
_cell_angle_gamma 90.00
loop_
_atom_site_label
_atom_site_type_symbol
_atom_site_fract_x
_atom_site_fract_y
_atom_site_fract_z
Dy1 Dy 0.0000 0.0000 0.0000
Dy2 Dy 0.0000 0.5000 0.0000
Dy3 Dy 0.0000 0.5000 0.5000
Dy4 Dy 0.2484 0.2484 0.2517
Dy5 Dy 0.5000 0.5000 0.0000
Tm1 Tm 0.5000 0.5000 0.5000
Th1 Th 0.0000 0.0000 0.5000
```

---

Dy4Tm3Th5 | PBE-GGA | optimized geometry

Structure (CIF):
```
data_Dy4Tm3Th5
_chemical_formula_sum 'Dy8 Tm6 Th10'
_symmetry_space_group_name_H-M 'C 1 2/m 1'
_symmetry_Int_Tables_number 12
_cell_length_a 16.2410
_cell_length_b 5.9345
_cell_length_c 9.9980
_cell_angle_alpha 90.00
_cell_angle_beta 124.04
_cell_angle_gamma 90.00
loop_
_symmetry_equiv_pos_as_xyz
'x,y,z'
'-x,-y,-z'
'-x,y,-z'
'x,-y,z'
'x+1/2,y+1/2,z'
'-x+1/2,-y+1/2,-z'
'-x+1/2,y+1/2,-z'
'x+1/2,-y+1/2,z'
loop_
_atom_site_label
_atom_site_type_symbol
_atom_site_fract_x
_atom_site_fract_y
_atom_site_fract_z
Dy1 Dy 0.0771 0.0000 0.4313
Dy2 Dy 0.2038 0.0000 0.8794
Tm1 Tm 0.0000 0.0000 0.0000
Tm2 Tm 0.0460 0.5000 0.7063
Th1 Th 0.0000 0.5000 0.0000
Th2 Th 0.1836 0.5000 0.3571
Th3 Th 0.2403 0.5000 0.7086
```

---

DyTm6Th | PBE-GGA | optimized geometry

Structure (CIF):
```
data_DyTm6Th
_chemical_formula_sum 'Dy1 Tm6 Th1'
_symmetry_space_group_name_H-M 'P 4/m m m'
_symmetry_Int_Tables_number 123
_symmetry_space_group_name_Hall '-P 4 2'
_cell_length_a 4.9729
_cell_length_b 4.9729
_cell_length_c 9.8818
_cell_angle_alpha 90.00
_cell_angle_beta 90.00
_cell_angle_gamma 90.00
loop_
_atom_site_label
_atom_site_type_symbol
_atom_site_fract_x
_atom_site_fract_y
_atom_site_fract_z
Dy1 Dy 0.0000 0.0000 0.0000
Tm1 Tm 0.0000 0.5000 0.2514
Tm2 Tm 0.5000 0.5000 0.0000
Tm3 Tm 0.5000 0.5000 0.5000
Th1 Th 0.0000 0.0000 0.5000
```

---

Dy4Tm5Th2 | PBE-GGA | optimized geometry

Structure (CIF):
```
data_Dy4Tm5Th2
_chemical_formula_sum 'Dy8 Tm10 Th4'
_symmetry_space_group_name_H-M 'I m m m'
_symmetry_Int_Tables_number 71
_symmetry_space_group_name_Hall '-I 2 2'
_cell_length_a 3.3166
_cell_length_b 7.4750
_cell_length_c 29.6165
_cell_angle_alpha 90.00
_cell_angle_beta 90.00
_cell_angle_gamma 90.00
loop_
_atom_site_label
_atom_site_type_symbol
_atom_site_fract_x
_atom_site_fract_y
_atom_site_fract_z
Dy1 Dy 0.0000 0.0000 0.1891
Dy2 Dy 0.0000 0.3238 0.5000
Tm1 Tm 0.0000 0.2530 0.3958
Tm2 Tm 0.0000 0.5000 0.0000
Th1 Th 0.0000 0.0000 0.3034
```

---

DyTm3Th2 | PBE-GGA | optimized geometry

Structure (CIF):
```
data_DyTm3Th2
_chemical_formula_sum 'Dy4 Tm12 Th8'
_symmetry_space_group_name_H-M 'C 1 2/m 1'
_symmetry_Int_Tables_number 12
_cell_length_a 23.2655
_cell_length_b 3.4380
_cell_length_c 10.0493
_cell_angle_alpha 90.00
_cell_angle_beta 108.30
_cell_angle_gamma 90.00
loop_
_symmetry_equiv_pos_as_xyz
'x,y,z'
'-x,-y,-z'
'-x,y,-z'
'x,-y,z'
'x+1/2,y+1/2,z'
'-x+1/2,-y+1/2,-z'
'-x+1/2,y+1/2,-z'
'x+1/2,-y+1/2,z'
loop_
_atom_site_label
_atom_site_type_symbol
_atom_site_fract_x
_atom_site_fract_y
_atom_site_fract_z
Dy1 Dy 0.1873 0.0000 0.0368
Tm1 Tm 0.0583 0.0000 0.4441
Tm2 Tm 0.0679 0.5000 0.7713
Tm3 Tm 0.1944 0.0000 0.7118
Th1 Th 0.0712 0.5000 0.1355
Th2 Th 0.1905 0.0000 0.3754
```

---

Dy3TmTh3 | PBE-GGA | optimized geometry

Structure (CIF):
```
data_Dy3TmTh3
_chemical_formula_sum 'Dy6 Tm2 Th6'
_symmetry_space_group_name_H-M 'P 63/m'
_symmetry_Int_Tables_number 176
_symmetry_space_group_name_Hall '-P 6c'
_cell_length_a 9.4310
_cell_length_b 9.4310
_cell_length_c 5.8258
_cell_angle_alpha 90.00
_cell_angle_beta 90.00
_cell_angle_gamma 120.00
loop_
_atom_site_label
_atom_site_type_symbol
_atom_site_fract_x
_atom_site_fract_y
_atom_site_fract_z
Dy1 Dy 0.0919 0.4711 0.2500
Tm1 Tm 0.3333 0.6667 0.7500
Th1 Th 0.0484 0.2352 0.7500
```

---

Dy7Tm3Th | PBE-GGA | optimized geometry

Structure (CIF):
```
data_Dy7Tm3Th
_chemical_formula_sum 'Dy7 Tm3 Th1'
_symmetry_space_group_name_H-M 'P 3 m 1'
_symmetry_Int_Tables_number 156
_cell_length_a 7.0193
_cell_length_b 7.0193
_cell_length_c 8.5646
_cell_angle_alpha 90.00
_cell_angle_beta 90.00
_cell_angle_gamma 120.00
loop_
_symmetry_equiv_pos_as_xyz
'x,y,z'
'-y,x-y,z'
'-x+y,-x,z'
'-y,-x,z'
'-x+y,y,z'
'x,x-y,z'
loop_
_atom_site_label
_atom_site_type_symbol
_atom_site_fract_x
_atom_site_fract_y
_atom_site_fract_z
Dy1 Dy 0.0000 0.0000 0.0000
Dy2 Dy 0.1653 0.3306 0.6640
Dy3 Dy 0.5031 0.0063 0.9948
Tm1 Tm 0.3358 0.1679 0.3322
Th1 Th 0.6667 0.3333 0.6636
```

---

Dy8TmTh6 | PBE-GGA | optimized geometry

Structure (CIF):
```
data_Dy8TmTh6
_chemical_formula_sum 'Dy24 Tm3 Th18'
_symmetry_space_group_name_H-M 'R -3'
_symmetry_Int_Tables_number 148
_symmetry_space_group_name_Hall '-R 3'
_cell_length_a 8.8453
_cell_length_b 8.8453
_cell_length_c 21.2649
_cell_angle_alpha 90.00
_cell_angle_beta 90.00
_cell_angle_gamma 120.00
loop_
_atom_site_label
_atom_site_type_symbol
_atom_site_fract_x
_atom_site_fract_y
_atom_site_fract_z
Dy1 Dy 0.0000 0.0000 0.0805
Dy2 Dy 0.0637 0.2539 0.6334
Tm1 Tm 0.0000 0.0000 0.5000
Th1 Th 0.0278 0.7834 0.2094
```

---

Dy7Tm3Th | PBE-GGA | optimized geometry

Structure (CIF):
```
data_Dy7Tm3Th
_chemical_formula_sum 'Dy28 Tm12 Th4'
_symmetry_space_group_name_H-M 'C m c m'
_symmetry_Int_Tables_number 63
_symmetry_space_group_name_Hall '-C 2c 2'
_cell_length_a 16.8396
_cell_length_b 10.6561
_cell_length_c 8.0716
_cell_angle_alpha 90.00
_cell_angle_beta 90.00
_cell_angle_gamma 90.00
loop_
_atom_site_label
_atom_site_type_symbol
_atom_site_fract_x
_atom_site_fract_y
_atom_site_fract_z
Dy1 Dy 0.0000 0.2498 0.2500
Dy2 Dy 0.1455 0.2471 0.5562
Dy3 Dy 0.1630 0.4570 0.2500
Tm1 Tm 0.0000 0.5000 0.0000
Tm2 Tm 0.1637 0.0489 0.2500
Th1 Th 0.0000 0.0000 0.0000
```

---

Dy19Tm4Th6 | PBE-GGA | optimized geometry

Structure (CIF):
```
data_Dy19Tm4Th6
_chemical_formula_sum 'Dy38 Tm8 Th12'
_symmetry_space_group_name_H-M 'I 2 3'
_symmetry_Int_Tables_number 197
_symmetry_space_group_name_Hall 'I 2 2 3'
_cell_length_a 12.4035
_cell_length_b 12.4035
_cell_length_c 12.4035
_cell_angle_alpha 90.00
_cell_angle_beta 90.00
_cell_angle_gamma 90.00
loop_
_atom_site_label
_atom_site_type_symbol
_atom_site_fract_x
_atom_site_fract_y
_atom_site_fract_z
Dy1 Dy 0.0000 0.0000 0.0000
Dy2 Dy 0.0000 0.0000 0.2650
Dy3 Dy 0.0663 0.2571 0.2774
Tm1 Tm 0.1777 0.1777 0.8223
Th1 Th 0.0000 0.3697 0.5000
```

---

Dy9TmTh2 | PBE-GGA | optimized geometry

Structure (CIF):
```
data_Dy9TmTh2
_chemical_formula_sum 'Dy9 Tm1 Th2'
_symmetry_space_group_name_H-M 'P 4/m m m'
_symmetry_Int_Tables_number 123
_symmetry_space_group_name_Hall '-P 4 2'
_cell_length_a 5.0168
_cell_length_b 5.0168
_cell_length_c 14.9878
_cell_angle_alpha 90.00
_cell_angle_beta 90.00
_cell_angle_gamma 90.00
loop_
_atom_site_label
_atom_site_type_symbol
_atom_site_fract_x
_atom_site_fract_y
_atom_site_fract_z
Dy1 Dy 0.0000 0.0000 0.0000
Dy2 Dy 0.0000 0.0000 0.3324
Dy3 Dy 0.0000 0.5000 0.1674
Dy4 Dy 0.0000 0.5000 0.5000
Tm1 Tm 0.5000 0.5000 0.0000
Th1 Th 0.5000 0.5000 0.3340
```

---

Dy12TmTh7 | PBE-GGA | optimized geometry

Structure (CIF):
```
data_Dy12TmTh7
_chemical_formula_sum 'Dy24 Tm2 Th14'
_symmetry_space_group_name_H-M 'I m -3 m'
_symmetry_Int_Tables_number 229
_symmetry_space_group_name_Hall '-I 4 2 3'
_cell_length_a 11.5180
_cell_length_b 11.5180
_cell_length_c 11.5180
_cell_angle_alpha 90.00
_cell_angle_beta 90.00
_cell_angle_gamma 90.00
loop_
_atom_site_label
_atom_site_type_symbol
_atom_site_fract_x
_atom_site_fract_y
_atom_site_fract_z
Dy1 Dy 0.0000 0.2529 0.2529
Tm1 Tm 0.0000 0.0000 0.0000
Th1 Th 0.0000 0.0000 0.5000
Th2 Th 0.2500 0.2500 0.2500
```

---

no.,uncorrected energy (eV for the cell shown)
1,-177.94
2,-93.85
3,-102.38
4,-106.57
5,-75.46
6,-105.79
7,-36.52
8,-76.05
9,-129.78
10,-38.59
11,-98.40
12,-127.84
13,-80.51
14,-50.94
15,-250.58
16,-198.76
17,-275.58
18,-60.31
19,-184.73